10
Lattice="-8.886 -0.649 2.475 -1.527 -5.833 -7.011 0.788 -2.743 2.110" Properties=species:S:1:pos:R:3 comment="Ca2Sn2Bi | Alexandria | PBE-GGA | relaxed" dos_ef_per_ev_atom=0.611 ef_mev_per_atom=-314 rho_g_cm3=5.8 pbc="T T T"
Sn -2.231 -5.447 -3.261
Ca -5.758 -1.143 0.665
Sn -7.394 -3.778 0.836
Sn -6.892 -6.602 -3.022
Ca -4.655 -5.339 -5.201
Bi -5.207 -3.241 -2.268
Bi 0.000 0.000 0.000
Ca -1.693 -2.262 -2.308
Ca -8.720 -4.220 -2.228
Sn -2.733 -2.623 0.597

---

7
Lattice="5.894 -0.013 3.274 3.575 5.866 0.488 0.039 -0.904 6.827" Properties=species:S:1:pos:R:3 comment="NaSn2Bi4 | Alexandria | PBE-GGA | relaxed" dos_ef_per_ev_atom=0.572 ef_mev_per_atom=0 rho_g_cm3=8.0 pbc="T T T"
Sn 4.774 2.512 5.259
Bi 6.545 5.404 5.543
Sn 1.788 2.445 3.692
Bi 5.913 -0.453 6.691
Na 3.573 5.862 0.492
Bi 1.831 2.025 7.060
Bi 4.728 2.925 1.881

---

4
Lattice="6.916 -0.006 0.000 4.255 5.452 0.000 -5.586 -2.723 3.036" Properties=species:S:1:pos:R:3 comment="MnInBr2 | Alexandria | PBE-GGA | relaxed" dos_ef_per_ev_atom=0.763 rho_g_cm3=4.8 e_form_raw_ev_per_atom=0.011 pbc="T T T"
In 5.586 2.723 0.000
Br 0.000 0.000 0.000
Mn 3.458 -0.003 1.518
Br 2.128 2.726 1.518

---

6
Lattice="0.000 3.628 3.628 3.628 0.000 3.628 3.628 3.628 0.000" Properties=species:S:1:pos:R:3 comment="InCoRh4 | Alexandria | PBE-GGA | relaxed" dos_ef_per_ev_atom=1.610 ef_mev_per_atom=263 rho_g_cm3=10.2 pbc="T T T"
Rh 2.722 2.722 2.722
Rh 4.534 4.534 2.722
Co 5.442 5.442 5.442
Rh 2.722 4.534 4.534
In 0.000 0.000 0.000
Rh 4.534 2.722 4.534

---

12
Lattice="3.907 0.000 0.000 0.000 9.348 -0.177 0.000 -2.650 9.285" Properties=species:S:1:pos:R:3 comment="RbZnSnS3 | Alexandria | PBE-GGA | relaxed" dos_ef_per_ev_atom=0.508 rho_g_cm3=3.6 e_form_raw_ev_per_atom=-0.716 pbc="T T T"
Zn 2.930 7.493 3.492
S 2.930 3.864 1.283
S 2.930 0.303 4.815
Rb 2.930 5.488 6.965
Sn 2.930 0.909 7.988
Rb 0.977 1.210 2.143
S 0.977 6.395 4.293
Zn 0.977 -0.795 5.616
S 2.930 7.699 1.158
Sn 0.977 5.789 1.120
S 0.977 -1.001 7.950
S 0.977 2.834 7.825

---

7
Lattice="-3.139 -2.939 -1.654 4.405 -3.968 -1.310 -0.306 -0.320 7.565" Properties=species:S:1:pos:R:3 comment="Hf3Bi4 | Alexandria | PBE-GGA | relaxed" dos_ef_per_ev_atom=0.652 ef_mev_per_atom=-13 rho_g_cm3=11.6 pbc="T T T"
Hf 0.000 0.000 0.000
Bi -1.970 -3.406 3.374
Bi -0.405 -2.960 -0.390
Bi 1.365 -4.267 4.990
Bi 2.931 -3.821 1.226
Hf 0.732 -2.087 2.319
Hf 0.229 -5.140 2.281

---

8
Lattice="8.124 0.000 0.000 0.000 8.124 0.000 4.062 4.062 2.231" Properties=species:S:1:pos:R:3 comment="CaCu2F | Alexandria | PBE-GGA | relaxed" dos_ef_per_ev_atom=0.320 rho_g_cm3=4.2 e_form_raw_ev_per_atom=-0.899 pbc="T T T"
Cu 10.156 9.824 1.673
F 4.062 8.124 1.115
F 4.062 4.062 0.000
Ca 0.000 0.000 0.000
Cu 5.761 2.031 0.558
Cu 2.363 6.093 0.558
Ca 8.124 4.062 1.115
Cu 6.093 6.425 1.673

---

5
Lattice="4.655 0.000 0.000 0.000 4.655 0.000 0.000 0.000 4.655" Properties=species:S:1:pos:R:3 comment="Tm3PdN | Alexandria | PBE-GGA | relaxed" dos_ef_per_ev_atom=1.292 rho_g_cm3=10.3 e_form_raw_ev_per_atom=-0.965 pbc="T T T"
Tm 2.327 0.000 0.000
Tm 0.000 2.327 0.000
Pd 2.327 2.327 2.327
Tm 0.000 0.000 2.327
N 0.000 0.000 0.000

---

5
Lattice="-3.613 -2.506 -4.306 -2.107 -2.655 3.313 -4.164 4.440 0.909" Properties=species:S:1:pos:R:3 comment="Sr2HfTiGe | Alexandria | PBE-GGA | relaxed" dos_ef_per_ev_atom=1.385 ef_mev_per_atom=1063 rho_g_cm3=4.4 pbc="T T T"
Hf 0.000 0.000 0.000
Ti -1.054 -1.327 1.657
Sr -1.806 -1.253 -2.153
Sr -2.082 2.220 0.455
Ge -4.942 -0.361 -0.041

---

5
Lattice="-2.900 -4.004 1.322 5.440 -3.628 0.947 0.152 1.504 4.889" Properties=species:S:1:pos:R:3 comment="Mn2SnTeH | Alexandria | PBE-GGA | relaxed" dos_ef_per_ev_atom=0.834 e_tot_ev_per_atom=-4.45 rho_g_cm3=3.4 pbc="T T T"
Mn 0.076 0.752 2.444
Sn 2.720 -1.814 0.474
Mn -1.450 -2.002 0.661
Te 0.000 0.000 0.000
H 1.346 -3.064 3.579

---

3
Lattice="3.565 0.000 0.000 0.000 3.565 0.000 -1.782 -1.782 7.461" Properties=species:S:1:pos:R:3 comment="LaCeEr | Alexandria | PBE-GGA | relaxed" dos_ef_per_ev_atom=2.123 ef_mev_per_atom=72 rho_g_cm3=7.8 pbc="T T T"
Ce 1.782 1.782 2.466
La 0.000 0.000 4.854
Er 0.000 0.000 0.141

---

6
Lattice="-2.108 0.956 7.286 -3.358 -2.003 -2.044 2.597 -6.786 -2.378" Properties=species:S:1:pos:R:3 comment="CsBeBi | Alexandria | PBE-GGA | relaxed" dos_ef_per_ev_atom=0.000 ef_mev_per_atom=-24 rho_g_cm3=5.5 pbc="T T T"
Be -3.258 -3.781 3.414
Bi -0.984 -6.684 -2.238
Bi -1.658 -1.811 3.617
Be 0.774 -6.651 -0.396
Cs -1.402 -3.277 -0.126
Cs 0.522 -5.190 3.349

---

4
Lattice="4.147 0.000 0.000 0.000 5.336 0.000 0.000 0.000 5.336" Properties=species:S:1:pos:R:3 comment="KLa2Mo | Alexandria | PBE-GGA | relaxed" dos_ef_per_ev_atom=1.405 ef_mev_per_atom=932 rho_g_cm3=5.8 pbc="T T T"
La 0.000 0.000 0.000
Mo 2.074 2.668 0.000
La 0.000 2.668 2.668
K 2.074 0.000 2.668

---

8
Lattice="-1.487 3.055 1.139 -5.371 -2.839 0.606 -0.566 -2.383 5.655" Properties=species:S:1:pos:R:3 comment="Pu2UPaC4 | Alexandria | PBE-GGA | relaxed" dos_ef_per_ev_atom=2.351 ef_mev_per_atom=-101 rho_g_cm3=13.2 pbc="T T T"
Pu -0.566 -2.383 5.655
Pa -2.968 -2.611 3.131
Pu -1.026 0.336 3.397
U -3.429 0.108 0.872
C -4.326 -3.889 4.786
C -3.097 1.721 2.614
C -2.591 -1.030 5.017
C -4.832 -1.138 2.382

---

4
Lattice="0.000 2.777 2.777 2.777 0.000 2.777 2.777 2.777 0.000" Properties=species:S:1:pos:R:3 comment="CaTcN2 | Alexandria | PBE-GGA | relaxed" dos_ef_per_ev_atom=0.931 rho_g_cm3=6.4 e_form_raw_ev_per_atom=0.372 pbc="T T T"
N 1.389 1.389 1.389
Tc 2.777 2.777 2.777
Ca 0.000 0.000 0.000
N 4.166 4.166 4.166

---

4
Lattice="4.468 0.000 -1.628 0.000 4.421 0.000 -0.200 0.000 6.392" Properties=species:S:1:pos:R:3 comment="LaNdSn2 | Alexandria | PBE-GGA | relaxed" dos_ef_per_ev_atom=0.856 ef_mev_per_atom=-794 rho_g_cm3=6.9 pbc="T T T"
La 1.909 2.211 2.032
Sn 4.343 0.000 1.766
Sn 0.589 2.211 5.360
Nd 3.011 0.000 5.060

---

12
Lattice="8.200 -0.755 0.000 2.015 3.172 0.000 1.008 1.586 5.650" Properties=species:S:1:pos:R:3 comment="Ni5RuRh6 | Alexandria | PBE-GGA | relaxed" dos_ef_per_ev_atom=1.802 ef_mev_per_atom=59 rho_g_cm3=10.8 pbc="T T T"
Rh 6.639 0.237 1.895
Rh 7.647 1.823 3.755
Ni 5.108 1.208 0.000
Ni 6.116 2.794 1.856
Rh 2.564 0.597 0.000
Ni 5.108 1.208 3.794
Rh 7.652 1.819 0.000
Ru 0.000 0.000 0.000
Ni 1.008 1.586 1.865
Rh 4.584 3.766 3.755
Rh 3.577 2.180 1.895
Ni 2.015 3.172 3.785

---

4
Lattice="-8.924 -3.999 1.480 -8.238 -5.368 -1.072 -7.304 -6.495 1.519" Properties=species:S:1:pos:R:3 comment="Cd2CuAg | Alexandria | PBE-GGA | relaxed" dos_ef_per_ev_atom=0.269 ef_mev_per_atom=81 rho_g_cm3=8.8 pbc="T T T"
Ag -18.548 -12.026 1.461
Cu -12.156 -7.881 0.958
Cd -5.850 -3.793 0.461
Cd -0.146 -0.094 0.011

---

8
Lattice="-6.464 4.306 -1.259 -2.108 -0.965 7.519 -2.913 3.929 3.805" Properties=species:S:1:pos:R:3 comment="Mg2TcSn | Alexandria | PBE-GGA | relaxed" dos_ef_per_ev_atom=0.177 ef_mev_per_atom=460 rho_g_cm3=5.2 pbc="T T T"
Tc -4.653 2.317 7.227
Mg -3.083 1.070 5.448
Sn -6.831 4.953 2.837
Sn 0.000 0.000 0.000
Mg -9.610 5.904 8.064
Tc -4.286 1.671 3.130
Mg -5.474 4.165 5.467
Mg -4.802 3.400 1.149

---

5
Lattice="-0.473 1.985 3.979 -2.027 -3.012 3.774 4.056 -0.925 3.456" Properties=species:S:1:pos:R:3 comment="Li2Cd2Sn | Alexandria | PBE-GGA | relaxed" dos_ef_per_ev_atom=0.256 ef_mev_per_atom=-238 rho_g_cm3=5.7 pbc="T T T"
Li -0.141 -1.003 6.766
Cd 0.637 -0.271 1.467
Li 1.697 -0.949 4.444
Sn -1.250 -0.513 3.877
Cd 0.919 -1.681 9.742

---

no.,volume (Å³ per cell)
1,303.5
2,227.6
3,114.5
4,95.5
5,337.3
6,196.7
7,147.2
8,100.9
9,179.5
10,173.0
11,94.8
12,210.4
13,118.1
14,126.2
15,42.9
16,124.8
17,155.6
18,74.7
19,168.9
20,103.6